DFT (GGA-PBE) results for VSbRu2N after structural relaxation.

Properties
The calculation puts the density of states at the Fermi level at 0.866 states/eV per atom. For the calculated density, the calculation gives 6.55 Mg/m³. The value obtained for the formation energy (no corrections) is 1.9870 eV/atom.

Cell lengths 4.402, 4.402, 5.086 Å; angles 90.00, 90.00, 90.00 degrees
Space group P4/mmm (No. 123)
Unique sites:
V  0.000  0.000  0.000 (multiplicity 1)
Sb  0.000  0.000  0.500 (multiplicity 1)
Ru  0.000  0.500  0.000 (multiplicity 2)
N  0.500  0.500  0.500 (multiplicity 1)


DFT (GGA-PBE) results for Pr2Dy3In after structural relaxation.

Properties
The calculation puts the density of states at the Fermi level at 1.227 states/eV per atom. Its energy above the lowest structure with this stoichiometry is 0.0084 eV/atom. For the calculated density, the calculation gives 7.76 Mg/m³. Its energy of formation from the pure elements is -0.13 eV/atom.

Cell lengths 5.175, 9.337, 15.670 Å; angles 90.00, 90.00, 90.00 degrees
Space group Imma (No. 74)
Unique sites:
Pr  0.000  0.250  0.025 (multiplicity 4)
Pr  0.000  0.250  0.325 (multiplicity 4)
Dy  0.000  0.000  0.500 (multiplicity 4)
Dy  0.000  0.044  0.828 (multiplicity 8)
In  0.000  0.250  0.646 (multiplicity 4)


DFT (GGA-PBE) results for PaVSn after structural relaxation.

Properties
The calculation puts the density of states at the Fermi level at 1.485 states/eV per atom. For the calculated density, the calculation gives 10.39 Mg/m³. Its energy of formation from the pure elements is -0.05 eV/atom.

Cell lengths 4.357, 4.717, 6.399 Å; angles 90.00, 103.23, 90.00 degrees
Space group P2_1/m (No. 11)
Unique sites:
Pa  0.062  0.250  0.197 (multiplicity 2)
V  0.185  0.750  0.519 (multiplicity 2)
Sn  0.414  0.250  0.767 (multiplicity 2)


- Which of these has the lowest calculated density?
  VSbRu2N